## MnVO (PBE+U)

Data for a relaxed MnVO crystal.

Cell and atoms, written as POSCAR:
```
MnVO
1.0
11.083 0.000 0.000
0.000 3.055 0.000
0.000 0.000 5.390
Mn V O
4 4 4
direct
0.000 0.000 0.000
0.000 0.500 0.500
0.500 0.000 0.000
0.500 0.500 0.500
0.228 0.000 0.332
0.228 0.500 0.832
0.772 0.000 0.332
0.772 0.500 0.832
0.323 0.000 0.999
0.323 0.500 0.499
0.677 0.000 0.999
0.677 0.500 0.499
```

Space-group type: No. 38
Density of states at the Fermi level in states/eV/f.u.: 2.06
E_tot in eV/atom: -7.13
Total magnetization in μB per atom: 2.40